Entry 1:
! Cr3BiSb PBE optimized geometry; values from VASP
! total moment = 12.00 μB per formula unit
! energy relative to the lowest polymorph listed for this composition = 270.6 meV/atom
! space group = Pm-3m, No. 221
! raw formation energy = 1173 meV per atom
! total DFT energy (no corrections) = -6.201 eV per atom
&SYSTEM
  ibrav = 0, nat = 5, ntyp = 3
/
ATOMIC_SPECIES
Cr 52.00 Cr.upf
Bi 208.98 Bi.upf
Sb 121.76 Sb.upf
CELL_PARAMETERS angstrom
-0.5336 4.7398 -2.0942
-2.8624 1.4853 4.0910
4.3195 1.5698 2.4524
ATOMIC_POSITIONS crystal
Cr 0.0000 0.0000 0.5000
Cr 0.0000 0.5000 0.0000
Cr 0.5000 0.0000 0.0000
Bi 0.0000 0.0000 0.0000
Sb 0.5000 0.5000 0.5000



Entry 2:
! ScCrBi2Sb PBE optimized geometry; values from VASP
! total moment = 4.73 μB per formula unit
! space group = P4/mmm, No. 123
! raw formation energy = 567 meV per atom
! total DFT energy (no corrections) = -5.001 eV per atom
&SYSTEM
  ibrav = 0, nat = 5, ntyp = 4
/
ATOMIC_SPECIES
Bi 208.98 Bi.upf
Sb 121.76 Sb.upf
Sc 44.96 Sc.upf
Cr 52.00 Cr.upf
CELL_PARAMETERS angstrom
-1.7380 5.2742 -0.3812
-5.0469 -1.5714 1.2684
1.1205 0.7595 5.3992
ATOMIC_POSITIONS crystal
Bi 0.0000 0.0000 0.5000
Bi 0.5000 0.0000 0.0000
Sb 0.0000 0.5000 0.0000
Sc 0.0000 0.0000 0.0000
Cr 0.5000 0.5000 0.5000